# Na5Pd

A relaxed Na5Pd crystal (PBE, Alexandria).

Cell lengths 10.179, 4.487, 8.118 Å; angles 90.00, 90.00, 90.00 degrees
Atoms (fractional coordinates):
Na1 0.000 0.000 0.000
Na2 0.080 0.500 0.310
Na3 0.250 0.000 0.573
Na4 0.250 0.500 0.942
Na5 0.420 0.500 0.310
Na6 0.500 0.000 0.000
Na7 0.580 0.500 0.690
Na8 0.750 0.000 0.427
Na9 0.750 0.500 0.058
Na10 0.920 0.500 0.690
Pd1 0.250 0.000 0.191
Pd2 0.750 0.000 0.809

Output
Formation energy = -0.02 eV/atom
Symmetry = Pmma
E above lowest polymorph = 0 meV per atom
DFT total energy = -1.982 eV/atom